1.
First-principles (PBE-GGA) data for a geometry-optimized Dy4SO5 structure, as listed in Alexandria via LeMat-Bulk.

```
20
Lattice="-2.834 4.688 -1.069 -5.915 -2.967 2.671 2.075 3.083 8.020" Properties=species:S:1:pos:R:3 pbc="T T T"
O -3.368 1.405 8.309
O -5.032 1.948 0.553
O -1.791 0.893 1.884
O -5.978 2.341 3.754
O -2.963 3.853 2.392
O 0.278 2.798 3.723
O -2.211 4.969 5.297
O -5.226 3.457 6.658
O -4.691 -0.561 3.194
O -0.468 2.860 7.000
Dy -4.106 5.456 6.500
Dy 0.487 0.976 2.163
Dy 1.427 2.373 5.797
Dy -2.900 1.505 0.172
Dy -5.761 0.071 1.463
Dy -4.908 1.708 5.484
Dy -1.853 3.240 4.105
Dy -5.241 3.770 2.114
S -2.463 0.956 5.141
S -2.291 3.790 -0.864
```

formation energy without anion corrections	-3.1011	eV per atom
DFT total energy	-7.834	eV/atom
symmetry	Pmmn

=====

2.
First-principles (PBE-GGA) data for a geometry-optimized Dy2SO structure, as listed in Alexandria via LeMat-Bulk.

```
4
Lattice="3.557 0.000 0.000 1.778 3.080 0.000 1.778 1.027 6.517" Properties=species:S:1:pos:R:3 pbc="T T T"
S 5.335 3.080 6.482
Dy 1.778 1.027 4.807
Dy 1.778 1.027 1.662
O 3.557 2.053 3.343
```

formation energy without anion corrections	-2.1409	eV per atom
DFT total energy	-6.713	eV/atom
symmetry	R3m

=====

3.
First-principles (PBE-GGA) data for a geometry-optimized Dy2SO2 structure, as listed in Alexandria via LeMat-Bulk.

```
5
Lattice="3.810 0.000 0.000 -1.905 3.299 0.000 0.000 0.000 6.615" Properties=species:S:1:pos:R:3 pbc="T T T"
O 1.905 1.100 2.451
O 0.000 2.200 4.164
Dy 1.905 1.100 4.747
Dy 0.000 2.200 1.868
S 0.000 0.000 0.000
```

formation energy without anion corrections	-3.2128	eV per atom
DFT total energy	-7.862	eV/atom
symmetry	P-3m1

=====

4.
First-principles (PBE-GGA) data for a geometry-optimized Dy2ScS2O2 structure, as listed in Alexandria via LeMat-Bulk.

```
7
Lattice="-1.862 -0.353 3.546 1.230 -3.818 0.265 6.295 4.244 1.449" Properties=species:S:1:pos:R:3 pbc="T T T"
Dy 1.233 -1.527 2.774
Dy 4.430 1.599 2.485
O -0.931 -0.177 1.773
O 0.615 -1.909 0.133
S 3.529 -0.698 4.062
S 2.134 0.770 1.197
Sc 0.000 0.000 0.000
```

formation energy without anion corrections	-2.5332	eV per atom
DFT total energy	-7.349	eV/atom
symmetry	I4/mmm

=====

5.
First-principles (PBE-GGA) data for a geometry-optimized DyScS2O structure, as listed in Alexandria via LeMat-Bulk.

```
10
Lattice="-0.463 -1.489 3.433 -2.908 -2.035 -1.275 8.300 -9.879 -3.165" Properties=species:S:1:pos:R:3 pbc="T T T"
Sc 5.872 -9.736 -3.431
Sc 0.743 -1.904 1.345
Dy 4.654 -6.559 -0.146
Dy 1.961 -5.082 -1.940
S 4.403 -7.988 -2.870
S -0.710 -1.903 -0.921
S 2.212 -3.653 0.785
S 7.325 -9.738 -1.164
O 4.150 -4.939 -1.582
O 2.465 -6.701 -0.503
```

formation energy without anion corrections	-2.4654	eV per atom
DFT total energy	-7.295	eV/atom
symmetry	P4/nmm

=====

6.
First-principles (PBE-GGA) data for a geometry-optimized SmDyS2O structure, as listed in Alexandria via LeMat-Bulk.

```
10
Lattice="3.915 0.000 0.000 0.000 3.915 0.000 0.000 0.000 13.961" Properties=species:S:1:pos:R:3 pbc="T T T"
Dy 1.957 0.000 1.721
Dy 0.000 1.957 12.241
Sm 0.000 1.957 5.779
Sm 1.957 0.000 8.182
O 0.000 0.000 6.981
O 1.957 1.957 6.981
S 0.000 1.957 1.261
S 1.957 0.000 12.700
S 1.957 0.000 4.220
S 0.000 1.957 9.741
```

formation energy without anion corrections	-2.5112	eV per atom
DFT total energy	-7.018	eV/atom
symmetry	P4/nmm

=====

7.
First-principles (PBE-GGA) data for a geometry-optimized SmDySO2 structure, as listed in Alexandria via LeMat-Bulk.

```
5
Lattice="3.821 0.000 0.000 0.000 3.821 0.000 -1.911 -1.911 6.053" Properties=species:S:1:pos:R:3 pbc="T T T"
O 0.000 1.911 3.057
O 1.911 0.000 3.057
Sm 0.000 0.000 1.811
Dy 1.911 1.911 4.177
S 1.911 1.911 0.004
```

formation energy without anion corrections	-3.0321	eV per atom
DFT total energy	-7.705	eV/atom
symmetry	I4mm

=====

8.
First-principles (PBE-GGA) data for a geometry-optimized Dy3SnSO structure, as listed in Alexandria via LeMat-Bulk.

```
12
Lattice="3.902 0.000 0.000 0.000 8.606 0.605 0.000 -2.681 8.469" Properties=species:S:1:pos:R:3 pbc="T T T"
Dy 2.927 3.302 1.589
Dy 0.976 -1.345 7.325
Dy 2.927 7.269 1.750
Dy 0.976 5.866 4.568
Dy 2.927 0.059 4.507
Dy 0.976 2.623 7.486
Sn 2.927 4.939 7.040
Sn 0.976 0.986 2.035
O 2.927 6.757 3.957
O 0.976 -0.832 5.117
S 0.976 5.247 1.756
S 2.927 0.677 7.319
```

formation energy without anion corrections	-1.8686	eV per atom
DFT total energy	-6.351	eV/atom
symmetry	P2_1/m

=====

9.
First-principles (PBE-GGA) data for a geometry-optimized SrDyS2O8 structure, as listed in Alexandria via LeMat-Bulk.

```
12
Lattice="5.176 0.000 0.000 -2.588 4.482 0.000 0.000 0.000 7.880" Properties=species:S:1:pos:R:3 pbc="T T T"
O 0.000 2.988 7.654
O 2.588 1.494 0.226
O 3.810 0.791 2.189
O -1.222 3.691 5.691
O 2.586 2.904 2.189
O 1.368 0.787 2.189
O 1.220 3.695 5.691
O 0.002 1.578 5.691
S 2.588 1.494 1.706
S 0.000 2.988 6.174
Sr 0.000 0.000 0.000
Dy 0.000 0.000 3.940
```

formation energy without anion corrections	-2.0205	eV per atom
DFT total energy	-6.537	eV/atom
symmetry	P-3m1

=====

10.
First-principles (PBE-GGA) data for a geometry-optimized TbDyS2O structure, as listed in Alexandria via LeMat-Bulk.

```
10
Lattice="-1.008 -3.652 -0.801 3.163 -0.391 -2.200 7.162 -4.408 11.083" Properties=species:S:1:pos:R:3 pbc="T T T"
Dy 0.396 -2.380 0.992
Dy 7.844 -4.049 8.591
S 6.012 -5.836 9.683
S 6.557 -3.257 6.599
S 1.683 -3.172 2.984
S 2.228 -0.593 -0.100
Tb 4.570 -2.034 3.524
Tb 3.670 -4.395 6.059
O 4.659 -4.225 4.041
O 3.581 -2.204 5.542
```

formation energy without anion corrections	-2.5374	eV per atom
DFT total energy	-7.026	eV/atom
symmetry	P4/nmm